Here is crystalline MgVRuRh at its relaxed geometry from the Alexandria database. Energies are from PBE.

Unit cell a=4.306 b=4.306 c=4.306 alpha=60.00 beta=60.00 gamma=60.00
Atoms (fractional coordinates):
Mg (0.000, 0.000, 0.000)
V (0.500, 0.500, 0.500)
Ru (0.750, 0.750, 0.750)
Rh (0.250, 0.250, 0.250)

Calculated density (g cm⁻³): 8.21
Space group: No. 216
M_tot (μB/f.u.): 0.000
DFT total energy (eV per atom): -7.194
DFT formation energy (eV/atom): -0.36